1.
Rb2SbCF6: optimized geometry, PBE.

Cell: 5.970 5.970 10.516 Å, 90.00 90.00 90.00°
Space group I4/mmm (No. 139)
Asymmetric unit:
Rb 0.000 0.500 0.250 [4 per cell]
Sb 0.000 0.000 0.000 [2 per cell]
C 0.000 0.000 0.500 [2 per cell]
F 0.000 0.000 0.206 [4 per cell]
F 0.241 0.241 0.500 [8 per cell]

Properties
The crystal system is tetragonal. The raw formation energy is -1.6343 eV/atom. For the density of states at the Fermi level, the calculation gives 0.0 states/eV/f.u. The volume is 374.8 Å³/cell.

***

2.
Rb2ScCF6: optimized geometry, PBE.

Cell: 5.748 5.748 10.305 Å, 90.00 90.00 90.00°
Space group I4/mmm (No. 139)
Asymmetric unit:
Rb 0.000 0.500 0.250 [4 per cell]
Sc 0.000 0.000 0.000 [2 per cell]
C 0.000 0.000 0.500 [2 per cell]
F 0.000 0.000 0.195 [4 per cell]
F 0.248 0.248 0.500 [8 per cell]

Properties
The crystal system is tetragonal. The raw formation energy is -2.3015 eV/atom. For the density of states at the Fermi level, the calculation gives 0.0 states/eV/f.u. The volume is 340.5 Å³/cell.

***

3.
Rb2SnCF6: optimized geometry, PBE.

Cell: 8.710 8.710 8.710 Å, 90.00 90.00 90.00°
Space group Fm-3m (No. 225)
Asymmetric unit:
Rb 0.250 0.250 0.250 [8 per cell]
Sn 0.000 0.000 0.000 [4 per cell]
C 0.000 0.000 0.500 [4 per cell]
F 0.000 0.000 0.268 [24 per cell]

Properties
The crystal system is cubic. The raw formation energy is -1.6448 eV/atom. For the density of states at the Fermi level, the calculation gives 0.0 states/eV/f.u. The volume is 660.7 Å³/cell.

***

4.
Rb2TlCF6: optimized geometry, PBE.

Cell: 8.803 8.803 8.803 Å, 90.00 90.00 90.00°
Space group Fm-3m (No. 225)
Asymmetric unit:
Rb 0.250 0.250 0.250 [8 per cell]
Tl 0.000 0.000 0.000 [4 per cell]
C 0.000 0.000 0.500 [4 per cell]
F 0.000 0.000 0.297 [24 per cell]

Properties
The crystal system is cubic. The raw formation energy is -1.5392 eV/atom. For the density of states at the Fermi level, the calculation gives 2.5 states/eV/f.u. The volume is 682.2 Å³/cell.

***

5.
Rb2ZnCF6: optimized geometry, PBE.

Cell: 8.231 8.231 8.231 Å, 90.00 90.00 90.00°
Space group Fm-3m (No. 225)
Asymmetric unit:
Rb 0.250 0.250 0.250 [8 per cell]
Zn 0.000 0.000 0.000 [4 per cell]
C 0.000 0.000 0.500 [4 per cell]
F 0.000 0.000 0.255 [24 per cell]

Properties
The crystal system is cubic. The raw formation energy is -1.6521 eV/atom. For the density of states at the Fermi level, the calculation gives 0.0 states/eV/f.u. The volume is 557.7 Å³/cell.

***

6.
Rb2ZrCF6: optimized geometry, PBE.

Cell: 6.508 6.508 9.982 Å, 90.00 90.00 90.00°
Space group I4/mmm (No. 139)
Asymmetric unit:
Rb 0.000 0.500 0.250 [4 per cell]
Zr 0.000 0.000 0.000 [2 per cell]
C 0.000 0.000 0.500 [2 per cell]
F 0.000 0.000 0.204 [4 per cell]
F 0.221 0.221 0.000 [8 per cell]

Properties
The crystal system is tetragonal. The raw formation energy is -2.1973 eV/atom. For the density of states at the Fermi level, the calculation gives 8.5 states/eV/f.u. The volume is 422.9 Å³/cell.